# TbY2P GGA-PBE optimized geometry
# Calculated total energy in eV/atom: -6.442
# Total magnetization in μB per cell: 0.00
# Energy of formation in meV per atom: -699
data_TbY2P
_cell_length_a 9.6348
_cell_length_b 9.6348
_cell_length_c 9.6348
_cell_angle_alpha 22.73
_cell_angle_beta 22.73
_cell_angle_gamma 22.73
_space_group_name_H-M_alt 'P 1'
_space_group_IT_number 1
loop_
_space_group_symop_operation_xyz
'x,y,z'
loop_
_atom_site_label
_atom_site_type_symbol
_atom_site_fract_x
_atom_site_fract_y
_atom_site_fract_z
Tb1 Tb 0.0000 0.0000 0.0000
Y1 Y 0.2251 0.2251 0.2251
Y2 Y 0.7749 0.7749 0.7749
P1 P 0.5000 0.5000 0.5000

---

# LaMgTc2 GGA-PBE optimized geometry
# Calculated total energy in eV/atom: -6.266
# Total magnetization in μB per cell: 1.15
# Energy of formation in meV per atom: 547
data_LaMgTc2
_cell_length_a 3.3646
_cell_length_b 4.6209
_cell_length_c 4.9810
_cell_angle_alpha 90.00
_cell_angle_beta 90.00
_cell_angle_gamma 90.00
_space_group_name_H-M_alt 'P 1'
_space_group_IT_number 1
loop_
_space_group_symop_operation_xyz
'x,y,z'
loop_
_atom_site_label
_atom_site_type_symbol
_atom_site_fract_x
_atom_site_fract_y
_atom_site_fract_z
La1 La 0.0000 0.0000 0.0000
Mg1 Mg 0.5000 0.0000 0.5000
Tc1 Tc 0.0000 0.5000 0.5000
Tc2 Tc 0.5000 0.5000 0.0000

---

# Dy2Tm3Cu3 GGA-PBE optimized geometry
# Calculated total energy in eV/atom: -4.526
# Total magnetization in μB per cell: 0.00
# Energy of formation in meV per atom: -163
data_Dy2Tm3Cu3
_cell_length_a 10.7942
_cell_length_b 10.7942
_cell_length_c 10.7942
_cell_angle_alpha 161.33
_cell_angle_beta 153.05
_cell_angle_gamma 32.99
_space_group_name_H-M_alt 'P 1'
_space_group_IT_number 1
loop_
_space_group_symop_operation_xyz
'x,y,z'
loop_
_atom_site_label
_atom_site_type_symbol
_atom_site_fract_x
_atom_site_fract_y
_atom_site_fract_z
Dy1 Dy 0.2256 0.2256 0.0000
Dy2 Dy 0.7744 0.7744 0.0000
Tm1 Tm 0.0000 0.0000 0.0000
Tm2 Tm 0.3849 0.8849 0.5000
Tm3 Tm 0.6151 0.1151 0.5000
Cu1 Cu 0.1130 0.6130 0.5000
Cu2 Cu 0.5000 0.5000 0.0000
Cu3 Cu 0.8870 0.3870 0.5000

---

# ZrPt2Cl GGA-PBE optimized geometry
# Calculated total energy in eV/atom: -6.067
# Total magnetization in μB per cell: 0.00
# Relative energy among the computed polymorphs in meV/atom: 214
# Formation energy (no corrections) in kJ per mole of atoms: -43.2
data_ZrPt2Cl
_cell_length_a 4.9922
_cell_length_b 4.9922
_cell_length_c 5.2416
_cell_angle_alpha 96.17
_cell_angle_beta 96.17
_cell_angle_gamma 34.96
_space_group_name_H-M_alt 'P 1'
_space_group_IT_number 1
loop_
_space_group_symop_operation_xyz
'x,y,z'
loop_
_atom_site_label
_atom_site_type_symbol
_atom_site_fract_x
_atom_site_fract_y
_atom_site_fract_z
Zr1 Zr 0.0000 0.0000 0.0000
Pt1 Pt 0.4369 0.4369 0.4677
Pt2 Pt 0.6911 0.6911 0.3140
Cl1 Cl 0.2847 0.2847 0.8278

---

# RbAl2S GGA-PBE optimized geometry
# Calculated total energy in eV/atom: -2.640
# Total magnetization in μB per cell: 0.00
# Relative energy among the computed polymorphs in meV/atom: 470
# Formation energy (no corrections) in kJ per mole of atoms: 48.7
data_RbAl2S
_cell_length_a 5.3283
_cell_length_b 5.3283
_cell_length_c 5.3283
_cell_angle_alpha 60.00
_cell_angle_beta 60.00
_cell_angle_gamma 60.00
_space_group_name_H-M_alt 'P 1'
_space_group_IT_number 1
loop_
_space_group_symop_operation_xyz
'x,y,z'
loop_
_atom_site_label
_atom_site_type_symbol
_atom_site_fract_x
_atom_site_fract_y
_atom_site_fract_z
Rb1 Rb 0.0000 0.0000 0.0000
Al1 Al 0.2500 0.2500 0.2500
Al2 Al 0.7500 0.7500 0.7500
S1 S 0.5000 0.5000 0.5000

---

# LiTm2Cd GGA-PBE optimized geometry
# Calculated total energy in eV/atom: -3.055
# Total magnetization in μB per cell: 0.00
# Energy of formation in meV per atom: -112
# Relative energy among the computed polymorphs in meV/atom: 0
data_LiTm2Cd
_cell_length_a 5.1530
_cell_length_b 5.1530
_cell_length_c 3.7317
_cell_angle_alpha 90.00
_cell_angle_beta 90.00
_cell_angle_gamma 90.00
_space_group_name_H-M_alt 'P 1'
_space_group_IT_number 1
loop_
_space_group_symop_operation_xyz
'x,y,z'
loop_
_atom_site_label
_atom_site_type_symbol
_atom_site_fract_x
_atom_site_fract_y
_atom_site_fract_z
Li1 Li 0.0000 0.0000 0.0000
Tm1 Tm 0.0000 0.5000 0.5000
Tm2 Tm 0.5000 0.0000 0.5000
Cd1 Cd 0.5000 0.5000 0.0000

---

# KZrTiCd2 GGA-PBE optimized geometry
# Calculated total energy in eV/atom: -2.628
# Total magnetization in μB per cell: 2.28
# Energy of formation in meV per atom: 1246
data_KZrTiCd2
_cell_length_a 5.2701
_cell_length_b 5.2701
_cell_length_c 5.0771
_cell_angle_alpha 90.00
_cell_angle_beta 90.00
_cell_angle_gamma 90.00
_space_group_name_H-M_alt 'P 1'
_space_group_IT_number 1
loop_
_space_group_symop_operation_xyz
'x,y,z'
loop_
_atom_site_label
_atom_site_type_symbol
_atom_site_fract_x
_atom_site_fract_y
_atom_site_fract_z
K1 K 0.0000 0.0000 0.0000
Zr1 Zr 0.5000 0.5000 0.0000
Ti1 Ti 0.0000 0.0000 0.5000
Cd1 Cd 0.0000 0.5000 0.5000
Cd2 Cd 0.5000 0.0000 0.5000

---

# Li2Hg4Sb GGA-PBE optimized geometry
# Calculated total energy in eV/atom: -1.477
# Total magnetization in μB per cell: 0.00
# Formation energy (no corrections) in kJ per mole of atoms: -16.3
data_Li2Hg4Sb
_cell_length_a 10.4788
_cell_length_b 10.4311
_cell_length_c 9.2863
_cell_angle_alpha 63.90
_cell_angle_beta 63.37
_cell_angle_gamma 52.73
_space_group_name_H-M_alt 'P 1'
_space_group_IT_number 1
loop_
_space_group_symop_operation_xyz
'x,y,z'
loop_
_atom_site_label
_atom_site_type_symbol
_atom_site_fract_x
_atom_site_fract_y
_atom_site_fract_z
Li1 Li 0.1522 0.7699 0.7872
Li2 Li 0.2093 0.2128 0.2301
Li3 Li 0.2128 0.2093 0.8478
Li4 Li 0.2301 0.8478 0.2093
Li5 Li 0.7699 0.1522 0.7907
Li6 Li 0.7872 0.7907 0.1522
Li7 Li 0.7907 0.7872 0.7699
Li8 Li 0.8478 0.2301 0.2128
Hg1 Hg 0.0000 0.5000 0.5000
Hg2 Hg 0.1321 0.1321 0.6179
Hg3 Hg 0.1476 0.6024 0.1476
Hg4 Hg 0.1500 0.6000 0.6000
Hg5 Hg 0.3821 0.3821 0.8679
Hg6 Hg 0.3976 0.8524 0.3976
Hg7 Hg 0.4000 0.8500 0.8500
Hg8 Hg 0.5000 0.0000 0.5000
Hg9 Hg 0.5000 0.5000 0.0000
Hg10 Hg 0.5000 0.5000 0.5000
Hg11 Hg 0.6000 0.1500 0.1500
Hg12 Hg 0.6024 0.1476 0.6024
Hg13 Hg 0.6179 0.6179 0.1321
Hg14 Hg 0.8500 0.4000 0.4000
Hg15 Hg 0.8524 0.3976 0.8524
Hg16 Hg 0.8679 0.8679 0.3821
Sb1 Sb 0.0000 0.0000 0.0000
Sb2 Sb 0.0000 0.0000 0.5000
Sb3 Sb 0.0000 0.5000 0.0000
Sb4 Sb 0.5000 0.0000 0.0000

---

# Ti4SnPd4 GGA-PBE optimized geometry
# Calculated total energy in eV/atom: -6.714
# Total magnetization in μB per cell: 0.00
# Energy of formation in meV per atom: -453
data_Ti4SnPd4
_cell_length_a 6.4232
_cell_length_b 6.4232
_cell_length_c 6.4232
_cell_angle_alpha 95.47
_cell_angle_beta 95.47
_cell_angle_gamma 144.03
_space_group_name_H-M_alt 'P 1'
_space_group_IT_number 1
loop_
_space_group_symop_operation_xyz
'x,y,z'
loop_
_atom_site_label
_atom_site_type_symbol
_atom_site_fract_x
_atom_site_fract_y
_atom_site_fract_z
Ti1 Ti 0.0000 0.3351 0.3351
Ti2 Ti 0.0000 0.6649 0.6649
Ti3 Ti 0.3351 0.0000 0.3351
Ti4 Ti 0.6649 0.0000 0.6649
Sn1 Sn 0.0000 0.0000 0.0000
Pd1 Pd 0.3287 0.3287 0.6574
Pd2 Pd 0.3287 0.6713 0.0000
Pd3 Pd 0.6713 0.3287 0.0000
Pd4 Pd 0.6713 0.6713 0.3426

---

# YTm3Se6 GGA-PBE optimized geometry
# Calculated total energy in eV/atom: -5.895
# Total magnetization in μB per cell: 0.00
# Relative energy among the computed polymorphs in meV/atom: 36
# Formation energy (no corrections) in kJ per mole of atoms: -175.3
data_YTm3Se6
_cell_length_a 8.3225
_cell_length_b 8.3225
_cell_length_c 8.3225
_cell_angle_alpha 90.84
_cell_angle_beta 90.84
_cell_angle_gamma 90.84
_space_group_name_H-M_alt 'P 1'
_space_group_IT_number 1
loop_
_space_group_symop_operation_xyz
'x,y,z'
loop_
_atom_site_label
_atom_site_type_symbol
_atom_site_fract_x
_atom_site_fract_y
_atom_site_fract_z
Y1 Y 0.0000 0.0000 0.0000
Y2 Y 0.5000 0.5000 0.5000
Tm1 Tm 0.0699 0.5794 0.7453
Tm2 Tm 0.2547 0.9301 0.4206
Tm3 Tm 0.4206 0.2547 0.9301
Tm4 Tm 0.5794 0.7453 0.0699
Tm5 Tm 0.7453 0.0699 0.5794
Tm6 Tm 0.9301 0.4206 0.2547
Se1 Se 0.0362 0.9051 0.6775
Se2 Se 0.0949 0.3225 0.9638
Se3 Se 0.1820 0.5914 0.4134
Se4 Se 0.3225 0.9638 0.0949
Se5 Se 0.4086 0.5866 0.8180
Se6 Se 0.4134 0.1820 0.5914
Se7 Se 0.5866 0.8180 0.4086
Se8 Se 0.5914 0.4134 0.1820
Se9 Se 0.6775 0.0362 0.9051
Se10 Se 0.8180 0.4086 0.5866
Se11 Se 0.9051 0.6775 0.0362
Se12 Se 0.9638 0.0949 0.3225

---

# PmZnSn GGA-PBE optimized geometry
# Calculated total energy in eV/atom: -3.674
# Total magnetization in μB per cell: 0.00
# Energy of formation in meV per atom: -332
# Relative energy among the computed polymorphs in meV/atom: 246
data_PmZnSn
_cell_length_a 6.3406
_cell_length_b 6.3406
_cell_length_c 6.3406
_cell_angle_alpha 147.47
_cell_angle_beta 147.47
_cell_angle_gamma 46.67
_space_group_name_H-M_alt 'P 1'
_space_group_IT_number 1
loop_
_space_group_symop_operation_xyz
'x,y,z'
loop_
_atom_site_label
_atom_site_type_symbol
_atom_site_fract_x
_atom_site_fract_y
_atom_site_fract_z
Pm1 Pm 0.0000 0.0000 0.0000
Zn1 Zn 0.6640 0.6640 0.0000
Sn1 Sn 0.3010 0.3010 0.0000

---

# LiV3Hg GGA-PBE optimized geometry
# Calculated total energy in eV/atom: -4.812
# Total magnetization in μB per cell: 1.61
# Energy of formation in meV per atom: 1103
# Relative energy among the computed polymorphs in meV/atom: 0
data_LiV3Hg
_cell_length_a 4.2164
_cell_length_b 4.2164
_cell_length_c 4.2164
_cell_angle_alpha 90.00
_cell_angle_beta 90.00
_cell_angle_gamma 90.00
_space_group_name_H-M_alt 'P 1'
_space_group_IT_number 1
loop_
_space_group_symop_operation_xyz
'x,y,z'
loop_
_atom_site_label
_atom_site_type_symbol
_atom_site_fract_x
_atom_site_fract_y
_atom_site_fract_z
Li1 Li 0.0000 0.0000 0.0000
V1 V 0.0000 0.0000 0.5000
V2 V 0.0000 0.5000 0.0000
V3 V 0.5000 0.0000 0.0000
Hg1 Hg 0.5000 0.5000 0.5000